[1]
A plane-wave DFT calculation with meta-GGA SCAN was carried out for a crystal of MgTe3P relaxed with PBEsol.

Cell: 5.2530 5.2530 5.2530 Å, 90.00 90.00 90.00°
Sites, in units of the cell vectors:
P: 0.5000 0.5000 0.5000
Te: 0.0000 0.0000 0.5000
Te: 0.5000 0.0000 0.0000
Te: 0.0000 0.5000 0.0000
Mg: 0.0000 0.0000 0.0000

space-group type: No. 221
DFT total energy: -123.20 eV/cell
DOS at the Fermi energy: 4.854 states/eV/cell
raw formation energy: 0.786 eV per atom

***

[2]
A plane-wave DFT calculation with meta-GGA SCAN was carried out for a crystal of MgTeP2 relaxed with PBEsol.

Cell: 3.2623 3.2623 7.6455 Å, 90.00 90.00 90.00°
Sites, in units of the cell vectors:
Mg: 0.5000 0.5000 0.7906
P: 0.0000 0.0000 0.0438
P: 0.5000 0.5000 0.1357
Te: 0.0000 0.0000 0.5298

space-group type: No. 99
DFT total energy: -62.87 eV/cell
excess energy over the best structure of this formula in the dataset: 243 meV/atom
DOS at the Fermi energy: 0.751 states/eV/cell
raw formation energy: 0.038 eV per atom

***

[3]
A plane-wave DFT calculation with meta-GGA SCAN was carried out for a crystal of MgTeP2 relaxed with PBEsol.

Cell: 4.7561 4.7561 4.7561 Å, 60.00 60.00 60.00°
Sites, in units of the cell vectors:
P: 0.7500 0.7500 0.7500
P: 0.0000 0.0000 0.0000
Te: 0.2500 0.2500 0.2500
Mg: 0.5000 0.5000 0.5000

space-group type: No. 216
DFT total energy: -61.07 eV/cell
excess energy over the best structure of this formula in the dataset: 693 meV/atom
DOS at the Fermi energy: 2.872 states/eV/cell
raw formation energy: 0.488 eV per atom

***

[4]
A plane-wave DFT calculation with meta-GGA SCAN was carried out for a crystal of MgTi2PW relaxed with PBEsol.

Cell: 4.4649 4.4855 4.4855 Å, 90.00 90.00 90.00°
Each line ends with the local moment (μB).
Sites, in units of the cell vectors:
Mg: 0.5000 0.0000 0.0000  0.00
P: 0.0000 0.0000 0.0000  0.06
Ti: 0.0000 0.0000 0.5000  -0.11
Ti: 0.0000 0.5000 0.0000  -0.11
W: 0.5000 0.5000 0.5000  0.79

space-group type: No. 123
DFT total energy: -114.79 eV/cell
ΔH_f (0 K): 2.3 eV per formula unit
DOS at the Fermi energy: 3.043 states/eV/cell

***

[5]
A plane-wave DFT calculation with meta-GGA SCAN was carried out for a crystal of MgTl4P relaxed with PBEsol.

Cell: 6.1812 6.1812 6.1812 Å, 60.00 60.00 60.00°
Sites, in units of the cell vectors:
Mg: 0.7500 0.7500 0.7500
P: 0.0000 0.0000 0.0000
Tl: 0.8766 0.3745 0.3745
Tl: 0.3745 0.8766 0.3745
Tl: 0.3745 0.3745 0.8766
Tl: 0.3745 0.3745 0.3745

space-group type: No. 216
DFT total energy: -301.96 eV/cell
ΔH_f (0 K): 2.8 eV per formula unit
DOS at the Fermi energy: 3.359 states/eV/cell

***

[6]
A plane-wave DFT calculation with meta-GGA SCAN was carried out for a crystal of Mg2TlP relaxed with PBEsol.

Cell: 3.8488 4.5835 4.5835 Å, 90.06 89.93 89.93°
Sites, in units of the cell vectors:
Tl: 0.5000 0.5000 0.5000
P: 0.5000 0.0000 0.0000
Mg: 0.0000 0.5000 0.0000
Mg: 0.0000 0.0000 0.5000

space-group type: No. 12
DFT total energy: -93.21 eV/cell
ΔH_f (0 K): -0.5 eV per formula unit
DOS at the Fermi energy: 1.000 states/eV/cell

***

[7]
A plane-wave DFT calculation with meta-GGA SCAN was carried out for a crystal of Mg2TlP relaxed with PBEsol.

Cell: 3.6500 3.6500 6.7103 Å, 90.00 90.00 90.00°
Sites, in units of the cell vectors:
Mg: 0.0000 0.0000 0.0153
Mg: 0.5000 0.5000 0.3276
Tl: 0.5000 0.5000 0.7620
P: 0.0000 0.0000 0.3951

space-group type: No. 99
DFT total energy: -93.09 eV/cell
ΔH_f (0 K): -0.4 eV per formula unit
DOS at the Fermi energy: 2.832 states/eV/cell

***

[8]
A plane-wave DFT calculation with meta-GGA SCAN was carried out for a crystal of Mg2TlP relaxed with PBEsol.

Cell: 3.4537 3.4536 6.7871 Å, 90.00 90.06 90.00°
Sites, in units of the cell vectors:
Mg: 0.0004 0.0000 0.2049
Mg: 0.9996 0.0000 0.7951
Tl: 0.5000 0.5000 0.5000
P: 0.5000 0.5000 0.0000

space-group type: No. 123
DFT total energy: -93.39 eV/cell
ΔH_f (0 K): -0.7 eV per formula unit
DOS at the Fermi energy: 1.497 states/eV/cell

***

[9]
A plane-wave DFT calculation with meta-GGA SCAN was carried out for a crystal of Mg3PW relaxed with PBEsol.

Cell: 5.1235 5.1235 5.1235 Å, 90.00 90.00 90.00°
Each line ends with the local moment (μB).
Sites, in units of the cell vectors:
Mg: 0.0000 0.0000 0.5000  0.02
Mg: 0.5000 0.0000 0.0000  0.02
Mg: 0.0000 0.5000 0.0000  0.02
W: 0.0000 0.0000 0.0000  1.88
P: 0.5000 0.5000 0.5000  -0.01

space-group type: No. 221
DFT total energy: -86.66 eV/cell
ΔH_f (0 K): 8.3 eV per formula unit
DOS at the Fermi energy: 5.182 states/eV/cell

***

[10]
A plane-wave DFT calculation with meta-GGA SCAN was carried out for a crystal of MgPW3 relaxed with PBEsol.

Cell: 4.5156 4.5156 4.5156 Å, 90.00 90.00 90.00°
Each line ends with the local moment (μB).
Sites, in units of the cell vectors:
Mg: 0.0000 0.0000 0.0000  0.07
P: 0.5000 0.5000 0.5000  -0.02
W: 0.5000 0.0000 0.0000  0.55
W: 0.0000 0.0000 0.5000  0.55
W: 0.0000 0.5000 0.0000  0.55

space-group type: No. 221
DFT total energy: -209.31 eV/cell
ΔH_f (0 K): 15.1 eV per formula unit
DOS at the Fermi energy: 5.309 states/eV/cell

***

[11]
A plane-wave DFT calculation with meta-GGA SCAN was carried out for a crystal of MgP2W relaxed with PBEsol.

Cell: 3.5799 3.5799 5.2525 Å, 109.92 109.92 90.00°
Sites, in units of the cell vectors:
P: 0.0000 0.0000 0.0000
P: 0.7500 0.2500 0.5000
W: 0.5000 0.5000 0.0000
Mg: 0.2500 0.7500 0.5000

space-group type: No. 119
DFT total energy: -94.13 eV/cell
ΔH_f (0 K): 1.3 eV per formula unit
DOS at the Fermi energy: 2.253 states/eV/cell

***

[12]
A plane-wave DFT calculation with meta-GGA SCAN was carried out for a crystal of MgP2W relaxed with PBEsol.

Cell: 3.0830 3.0830 6.3421 Å, 90.00 90.00 90.00°
Sites, in units of the cell vectors:
P: 0.0000 0.0000 0.2122
P: 0.0000 0.0000 0.7878
Mg: 0.5000 0.5000 0.5000
W: 0.5000 0.5000 0.0000

space-group type: No. 123
DFT total energy: -96.28 eV/cell
ΔH_f (0 K): -0.8 eV per formula unit
DOS at the Fermi energy: 1.114 states/eV/cell

***

- Among the records above, which one has the highest DFT total energy?
  number 3